LiCo3OF5, relaxed, DFT PBE with a Hubbard U; electronic total energy = -51.2 eV/f.u.; polymorph energy (0 for the lowest one) = 19.5 meV per atom; space-group type = P1
1.0
8.399 -0.029 0.012
-2.811 7.975 -0.001
-2.747 -3.871 6.933
Co F O Li
12 20 4 4
direct
0.760 0.802 0.043
0.030 0.235 0.253
0.247 0.717 0.466
0.514 0.254 0.782
0.782 0.533 0.244
0.207 0.459 0.749
0.287 0.050 0.242
0.253 0.227 0.976
0.461 0.754 0.217
0.764 0.297 0.542
0.970 0.734 0.720
0.721 0.967 0.769
0.558 0.273 0.055
0.512 0.750 0.473
0.237 0.947 0.953
0.549 0.042 0.282
0.441 0.962 0.721
0.997 0.464 0.230
0.952 0.985 0.730
0.268 0.515 0.543
0.721 0.492 0.438
0.760 0.220 0.767
0.238 0.790 0.250
0.725 0.703 0.761
0.047 0.975 0.279
0.773 0.547 0.003
0.946 0.210 0.469
0.452 0.724 0.956
0.709 0.751 0.260
0.504 0.272 0.544
0.234 0.484 0.035
0.035 0.768 0.496
0.260 0.261 0.218
0.280 0.260 0.760
0.776 0.032 0.033
0.003 0.530 0.753
0.480 0.483 0.479
0.991 0.498 0.979
0.035 0.029 0.528
0.519 0.003 0.003